## Zr3Ti4Al2 (PBE-GGA)

Data for crystalline Zr3Ti4Al2 at its relaxed geometry.

Cell lengths 4.680, 4.680, 8.759 Å; angles 91.18, 91.18, 60.92 degrees
Fractional positions:
1 Zr 0.000 0.000 0.000
2 Zr 0.335 0.335 0.564
3 Zr 0.665 0.665 0.436
4 Ti 0.003 0.003 0.672
5 Ti 0.335 0.335 0.894
6 Ti 0.665 0.665 0.106
7 Ti 0.997 0.997 0.328
8 Al 0.331 0.331 0.216
9 Al 0.669 0.669 0.784

As for the total energy: -7.2633 eV per atom. The symmetry is C2/m (12).